No. 1
First-principles (PBE-GGA) data for a relaxed structure of HgSeBr3, as listed in the Alexandria database.

The structure in POSCAR format:
```
HgSeBr3
1.0
5.558 0.000 0.000
0.000 5.558 0.000
0.000 0.000 5.558
Br Hg Se
3 1 1
direct
0.000 0.500 0.000
0.500 0.000 0.000
0.000 0.000 0.500
0.000 0.000 0.000
0.500 0.500 0.500
```

ΔE_f (raw), eV per atom: 0.296
Total DFT energy (no corrections), eV per formula unit: -7.3
DOS(E_F), states/eV/cell: 4.0
Polymorph energy (0 for the lowest one), eV/atom: 0.536

No. 2
First-principles (PBE-GGA) data for a relaxed structure of HfCoSb2Au, as listed in the Alexandria database.

The structure in POSCAR format:
```
HfCoSb2Au
1.0
-4.789 0.644 2.098
-1.922 -1.154 -4.033
-0.038 -5.059 1.465
Co Sb Au Hf
1 2 1 1
direct
0.000 0.500 0.000
0.000 0.000 0.500
0.500 0.000 0.000
0.000 0.000 0.000
0.500 0.500 0.500
```

ΔE_f (raw), eV per atom: 0.907
Total DFT energy (no corrections), eV per formula unit: -24.0
DOS(E_F), states/eV/cell: 4.1

No. 3
First-principles (PBE-GGA) data for a relaxed structure of ScGe3Au, as listed in the Alexandria database.

The structure in POSCAR format:
```
ScGe3Au
1.0
-3.369 -0.996 -3.573
3.541 -2.300 -2.698
-1.104 -4.339 2.250
Au Ge Sc
1 3 1
direct
0.000 0.000 0.000
0.500 0.000 0.000
0.000 0.000 0.500
0.000 0.500 0.000
0.500 0.500 0.500
```

Total DFT energy (no corrections), eV per formula unit: -21.0
DOS(E_F), states/eV/cell: 4.7
Polymorph energy (0 for the lowest one), eV/atom: 0.000
Energy of formation, eV/atom: 0.495

No. 4
First-principles (PBE-GGA) data for a relaxed structure of SiNi2Rh2, as listed in the Alexandria database.

The structure in POSCAR format:
```
SiNi2Rh2
1.0
5.721 0.000 0.000
0.000 5.721 0.000
0.000 0.000 3.964
Ni Si Rh
4 2 4
direct
0.640 0.140 0.000
0.860 0.640 0.000
0.140 0.360 0.000
0.360 0.860 0.000
0.000 0.000 0.000
0.500 0.500 0.000
0.831 0.331 0.500
0.331 0.169 0.500
0.169 0.669 0.500
0.669 0.831 0.500
```

ΔE_f (raw), eV per atom: -0.071
Total DFT energy (no corrections), eV per formula unit: -32.0
DOS(E_F), states/eV/cell: 16.2
Polymorph energy (0 for the lowest one), eV/atom: 0.015

No. 5
First-principles (PBE-GGA) data for a relaxed structure of La8Pm6Dy, as listed in the Alexandria database.

The structure in POSCAR format:
```
La8Pm6Dy
1.0
5.775 0.000 2.762
2.227 5.329 2.762
-3.587 -2.388 14.918
La Pm Dy
8 6 1
direct
0.202 0.534 0.397
0.534 0.868 0.397
0.798 0.466 0.603
0.466 0.132 0.603
0.333 0.333 0.000
0.868 0.202 0.397
0.667 0.667 0.000
0.132 0.798 0.603
0.734 0.066 0.803
0.398 0.734 0.803
0.266 0.934 0.197
0.602 0.266 0.197
0.934 0.602 0.197
0.066 0.398 0.803
0.000 0.000 0.000
```

Total DFT energy (no corrections), eV per formula unit: -72.2
DOS(E_F), states/eV/cell: 24.5
Energy of formation, eV/atom: 0.022

No. 6
First-principles (PBE-GGA) data for a relaxed structure of PrGdAgGe, as listed in the Alexandria database.

The structure in POSCAR format:
```
PrGdAgGe
1.0
5.216 0.000 0.000
2.608 4.517 0.000
2.608 1.506 4.258
Ag Gd Pr Ge
1 1 1 1
direct
0.000 0.000 0.000
0.750 0.750 0.750
0.250 0.250 0.250
0.500 0.500 0.500
```

Total DFT energy (no corrections), eV per formula unit: -28.4
DOS(E_F), states/eV/cell: 3.6
Energy of formation, eV/atom: -0.525